LiLaCr2 (GGA-PBEsol, relaxed); E_form = 0.454 eV/atom; final energy = -0.4774 Ry/atom; excess energy over the best structure of this formula in the dataset = 0.0 meV per atom; calculated density = 5.67 g/cm3
1.0
3.0360 0.0000 0.0000
0.0000 3.0348 0.0610
0.0000 -0.1551 7.9357
Cr Li La
2 1 1
direct
0.5000 0.5000 0.1720
0.0000 0.0007 0.0469
0.5000 0.5007 0.8162
0.0000 0.9986 0.4649